# PmTl6, optimized geometry, DFT PBE
data_PmTl6
_chemical_formula_sum 'Pm2 Tl12'
_space_group_name_H-M_alt 'I m -3 m'
_space_group_IT_number 229
_space_group_name_Hall '-I 4 2 3'
_cell_length_a 8.3393
_cell_length_b 8.3393
_cell_length_c 8.3393
_cell_angle_alpha 90.00
_cell_angle_beta 90.00
_cell_angle_gamma 90.00
loop_
_atom_site_label
_atom_site_type_symbol
_atom_site_fract_x
_atom_site_fract_y
_atom_site_fract_z
_atom_site_occupancy
Pm1 Pm 0.0000 0.0000 0.0000 1
Tl1 Tl 0.0000 0.2500 0.5000 1
# Electronic total energy ... -2.181 eV per atom
# Calculated volume ... 579.9 Å³/cell
# E_form ... 526 meV/atom